VASP calculation (PBE-GGA) on an optimized crystal structure of Sc4AuSeS2.

Summary:
SG: No. 10
Formation energy (no corrections) in meV/atom: -1487
Magnetization in μB/atom: 0.000

Cell lengths 6.542, 3.705, 6.742 Å; angles 90.00, 108.00, 90.00 degrees
Atoms (fractional coordinates):
Sc (0.241, 0.000, 0.229)
Sc (0.257, 0.500, 0.772)
Sc (0.743, 0.500, 0.228)
Sc (0.759, 0.000, 0.771)
Au (0.500, 0.500, 0.500)
Se (0.000, 0.000, 0.500)
S (0.000, 0.500, 0.000)
S (0.500, 0.000, 0.000)